DFT (PBE with a Hubbard U) results for a geometry-optimized Rb2TlNi3F12 structure.

```
data_Rb2TlNi3F12
_cell_length_a 7.469
_cell_length_b 7.469
_cell_length_c 7.469
_cell_angle_alpha 58.84
_cell_angle_beta 58.84
_cell_angle_gamma 58.84
_symmetry_space_group_name_H-M 'P 1'
_symmetry_Int_Tables_number 1
_symmetry_space_group_name_Hall 'P 1'
loop_
_atom_site_label
_atom_site_type_symbol
_atom_site_fract_x
_atom_site_fract_y
_atom_site_fract_z
F1 F 0.638 0.095 0.095
F2 F 0.905 0.905 0.362
F3 F 0.305 0.915 0.305
F4 F 0.305 0.305 0.915
F5 F 0.905 0.362 0.905
F6 F 0.085 0.695 0.695
F7 F 0.695 0.695 0.085
F8 F 0.095 0.095 0.638
F9 F 0.915 0.305 0.305
F10 F 0.095 0.638 0.095
F11 F 0.362 0.905 0.905
F12 F 0.695 0.085 0.695
Ni1 Ni 0.500 0.000 0.000
Ni2 Ni 0.000 0.500 0.000
Ni3 Ni 0.000 0.000 0.500
Tl1 Tl 0.000 0.000 0.000
Rb1 Rb 0.614 0.614 0.614
Rb2 Rb 0.386 0.386 0.386
```

Computed properties:
crystal system: trigonal
density of states at the Fermi level: 1.678 states/eV/f.u.
uncorrected energy: -4.09 eV/atom